A plane-wave DFT calculation with GGA-PBE was carried out for an optimized crystal structure of YAl2ZnCu4.

Output
ΔE_f   -0.246 eV per atom
Volume   15.673 A^3/atom

Geometry as CIF:
```
data_YAl2ZnCu4
_chemical_formula_sum 'Y1 Al2 Zn1 Cu4'
_cell_length_a 4.166
_cell_length_b 4.166
_cell_length_c 8.682
_cell_angle_alpha 76.12
_cell_angle_beta 76.12
_cell_angle_gamma 60.00
_symmetry_space_group_name_H-M 'P 1'
_symmetry_Int_Tables_number 1
loop_
_symmetry_equiv_pos_as_xyz
'x,y,z'
loop_
_atom_site_label
_atom_site_fract_x
_atom_site_fract_y
_atom_site_fract_z
Zn1 0.500 0.500 0.500
Y1 0.000 0.000 0.000
Al1 0.242 0.242 0.275
Cu1 0.869 0.869 0.394
Al2 0.758 0.758 0.725
Cu2 0.402 0.402 0.793
Cu3 0.131 0.131 0.606
Cu4 0.598 0.598 0.207
```